Compound: TbYCuOs
Source: the Alexandria database
Functional: PBE-GGA
Structure: relaxed

Cell: 6.890 6.890 6.890 Å, 90.00 90.00 90.00°
Space group F-43m (No. 216)
Symmetry-distinct sites (fractional):
Tb 0.000 0.000 0.000 [4 per cell]
Y 0.000 0.000 0.500 [4 per cell]
Cu 0.250 0.250 0.250 [4 per cell]
Os 0.250 0.250 0.750 [4 per cell]

Calculated values
Electronic total energy: -6.837 eV/atom
Total magnetic moment: 0.00 Bohr magnetons per cell
Energy relative to the elements: -0.232 eV/atom

Compound: CuTcOs2
Source: the Alexandria database
Functional: PBE-GGA
Structure: relaxed

Cell: 2.782 4.529 9.131 Å, 90.00 90.00 90.00°
Space group Cmm2 (No. 35)
Symmetry-distinct sites (fractional):
Cu 0.000 0.000 0.000 [2 per cell]
Tc 0.000 0.500 0.249 [2 per cell]
Os 0.000 0.000 0.498 [2 per cell]
Os 0.000 0.500 0.752 [2 per cell]

Calculated values
Electronic total energy: -8.720 eV/atom
Total magnetic moment: 0.00 Bohr magnetons per cell
Energy relative to the elements: 0.510 eV/atom

Compound: CuTcOs2
Source: the Alexandria database
Functional: PBE-GGA
Structure: relaxed

Cell: 8.999 2.708 4.669 Å, 90.00 99.73 90.00°
Space group C2/m (No. 12)
Symmetry-distinct sites (fractional):
Cu 0.000 0.000 0.000 [2 per cell]
Tc 0.000 0.500 0.500 [2 per cell]
Os 0.243 0.000 0.748 [4 per cell]

Calculated values
Electronic total energy: -8.988 eV/atom
Total magnetic moment: 0.00 Bohr magnetons per cell
Energy relative to the elements: 0.242 eV/atom

Compound: Cu2TcOs
Source: the Alexandria database
Functional: PBE-GGA
Structure: relaxed

Cell: 6.816 6.816 5.001 Å, 90.00 90.00 90.00°
Space group I-42d (No. 122)
Symmetry-distinct sites (fractional):
Cu 0.247 0.250 0.125 [8 per cell]
Tc 0.000 0.000 0.500 [4 per cell]
Os 0.000 0.000 0.000 [4 per cell]

Calculated values
Electronic total energy: -6.454 eV/atom
Total magnetic moment: 0.00 Bohr magnetons per cell
Energy relative to the elements: 0.993 eV/atom